[1]
Entry from the Alexandria database: a relaxed Ca2CdCl crystal (GGA-PBE).

The calculation puts the excess energy over the best structure of this formula in the dataset at 0.2788 eV/atom. The calculation puts the density of states at the Fermi level at 6.70 states/eV/cell. The density is 3.1 g cm⁻³. The uncorrected formation energy comes out at -695 meV per atom.

The space group is I-4m2 (No. 119) and the conventional cell measures 4.3536, 4.3536 and 12.9509 Å, with angles of 90.00, 90.00 and 90.00 degrees. The asymmetric unit holds Ca at (0.0000, 0.0000, 0.0000), Ca at (0.0000, 0.5000, 0.2500), Cd at (0.0000, 0.5000, 0.7500) and Cl at (0.0000, 0.0000, 0.5000).


[2]
Entry from the Alexandria database: a relaxed La2GaAs2 crystal (GGA-PBE).

The calculation puts the energy of formation at -1071 meV per atom. The calculation puts the density of states at the Fermi level at 3.19 states/eV/cell. The density is 6.3 g cm⁻³.

The space group is P4/mbm (No. 127) and the conventional cell measures 8.0347, 8.0347 and 4.0632 Å, with angles of 90.00, 90.00 and 90.00 degrees. The asymmetric unit holds La at (0.1562, 0.3438, 0.0000), Ga at (0.0000, 0.0000, 0.5000) and As at (0.1522, 0.6522, 0.5000).


[3]
Entry from the Alexandria database: a relaxed Y2Ho8Er3 crystal (GGA-PBE).

The calculation puts the energy of formation at 237 meV per atom. The calculation puts the excess energy over the best structure of this formula in the dataset at 0.0702 eV/atom. The calculation puts the density of states at the Fermi level at 44.01 states/eV/cell. The density is 7.8 g cm⁻³.

The space group is C2/m (No. 12) and the conventional cell measures 20.2944, 7.5537 and 5.5466 Å, with angles of 90.00, 90.02 and 90.00 degrees. The asymmetric unit holds Y at (0.2414, 0.0000, 0.4995), Ho at (0.1074, 0.2876, 0.5002), Ho at (0.1312, 0.0000, 0.9999), Ho at (0.1641, 0.5000, 0.0005), Er at (0.0000, 0.0000, 0.5000) and Er at (0.0000, 0.2841, 0.0000).


[4]
Entry from the Alexandria database: a relaxed LaSc2Se crystal (GGA-PBE).

The calculation puts the density of states at the Fermi level at 14.28 states/eV/cell. The density is 4.9 g cm⁻³. The uncorrected formation energy comes out at -716 meV per atom.

The space group is R-3m (No. 166, hexagonal axes) and the conventional cell measures 3.6340, 3.6340 and 27.5421 Å, with angles of 90.00, 90.00 and 120.00 degrees. The asymmetric unit holds La at (0.0000, 0.0000, 0.0000), Sc at (0.0000, 0.0000, 0.2286) and Se at (0.0000, 0.0000, 0.5000).


[5]
Entry from the Alexandria database: a relaxed Y12TmC7 crystal (GGA-PBE).

The calculation puts the energy of formation at -257 meV per atom. The calculation puts the density of states at the Fermi level at 50.00 states/eV/cell. The density is 5.0 g cm⁻³.

The space group is R-3 (No. 148, hexagonal axes) and the conventional cell measures 13.1331, 13.1331 and 8.8267 Å, with angles of 90.00, 90.00 and 120.00 degrees. The asymmetric unit holds Y at (0.0327, 0.4448, 0.1583), Y at (0.0489, 0.8829, 0.8246), Tm at (0.0000, 0.0000, 0.5000), C at (0.0000, 0.0000, 0.0000) and C at (0.0539, 0.8711, 0.3313).


[6]
Entry from the Alexandria database: a relaxed TbPr2Ag4 crystal (GGA-PBE).

The calculation puts the energy of formation at -97 meV per atom. The calculation puts the density of states at the Fermi level at 13.48 states/eV/cell. The density is 7.6 g cm⁻³.

The space group is I4/mmm (No. 139) and the conventional cell measures 5.4352, 5.4352 and 12.9573 Å, with angles of 90.00, 90.00 and 90.00 degrees. The asymmetric unit holds Tb at (0.0000, 0.0000, 0.0000), Pr at (0.0000, 0.0000, 0.2811) and Ag at (0.0000, 0.5000, 0.1135).


[7]
Entry from the Alexandria database: a relaxed CdP2Ir crystal (GGA-PBE).

The calculation puts the energy of formation at 587 meV per atom. The calculation puts the density of states at the Fermi level at 2.40 states/eV/cell. The density is 9.4 g cm⁻³.

The space group is Pmmm (No. 47) and the conventional cell measures 3.2289, 4.3945 and 4.5588 Å, with angles of 90.00, 90.00 and 90.00 degrees. The asymmetric unit holds Cd at (0.0000, 0.0000, 0.0000), P at (0.0000, 0.5000, 0.5000), P at (0.5000, 0.5000, 0.0000) and Ir at (0.5000, 0.0000, 0.5000).


[8]
Entry from the Alexandria database: a relaxed LuGaPt crystal (GGA-PBE).

The calculation puts the energy of formation at -1125 meV per atom. The calculation puts the density of states at the Fermi level at 5.37 states/eV/cell. The density is 12.9 g cm⁻³.

The space group is Pnma (No. 62) and the conventional cell measures 6.7179, 4.3986 and 7.6790 Å, with angles of 90.00, 90.00 and 90.00 degrees. The asymmetric unit holds Lu at (0.0164, 0.2500, 0.1973), Ga at (0.1710, 0.2500, 0.5723) and Pt at (0.2313, 0.7500, 0.3979).


[9]
Entry from the Alexandria database: a relaxed Fe2HgW crystal (GGA-PBE).

The calculation puts the energy of formation at 498 meV per atom. The calculation puts the density of states at the Fermi level at 11.43 states/eV/cell. The density is 13.4 g cm⁻³.

The space group is R3m (No. 160, hexagonal axes) and the conventional cell measures 2.8493, 2.8493 and 26.2857 Å, with angles of 90.00, 90.00 and 120.00 degrees. The asymmetric unit holds Fe at (0.0000, 0.0000, 0.0000), Fe at (0.0000, 0.0000, 0.2647), Hg at (0.0000, 0.0000, 0.5093) and W at (0.0000, 0.0000, 0.7440).


[10]
Entry from the Alexandria database: a relaxed SrAlZn2Ru crystal (GGA-PBE).

The calculation puts the energy of formation at -231 meV per atom. The calculation puts the density of states at the Fermi level at 2.15 states/eV/cell. The density is 5.1 g cm⁻³.

The space group is P4/mmm (No. 123) and the conventional cell measures 4.9058, 4.9058 and 4.6896 Å, with angles of 90.00, 90.00 and 90.00 degrees. The asymmetric unit holds Sr at (0.0000, 0.0000, 0.0000), Al at (0.5000, 0.5000, 0.0000), Zn at (0.0000, 0.5000, 0.5000) and Ru at (0.5000, 0.5000, 0.5000).